First-principles (PBE) data for a relaxed SiSbIr2 crystal, as listed in the Alexandria database.

Values from the calculation:
- calculated total energy (eV/cell) = -25.77
- formation energy (no corrections) (eV per atom) = 0.37
- space group = C2/m

Unit cell a=5.246 b=5.246 c=3.019 alpha=106.23 beta=106.23 gamma=111.58
Positions (direct):
Si  0.000  0.000  0.000
Sb  0.500  0.500  0.000
Ir  0.000  0.500  0.000
Ir  0.500  0.000  0.000

=====

First-principles (PBE) data for a relaxed SiSb2Ir crystal, as listed in the Alexandria database.

Values from the calculation:
- calculated total energy (eV/cell) = -22.47
- formation energy (no corrections) (eV per atom) = 0.02
- space group = Immm

Unit cell a=7.217 b=7.217 c=7.217 alpha=151.13 beta=150.85 gamma=41.49
Positions (direct):
Si  0.000  0.000  0.000
Sb  0.157  0.657  0.500
Sb  0.843  0.343  0.500
Ir  0.500  0.500  0.000

=====

First-principles (PBE) data for a relaxed SiSbIr2 crystal, as listed in the Alexandria database.

Values from the calculation:
- calculated total energy (eV/cell) = -26.62
- formation energy (no corrections) (eV per atom) = 0.16
- space group = I4/mmm

Unit cell a=4.653 b=4.653 c=4.653 alpha=125.87 beta=125.87 gamma=80.10
Positions (direct):
Si  0.000  0.000  0.000
Sb  0.500  0.500  0.000
Ir  0.250  0.750  0.500
Ir  0.750  0.250  0.500

=====

First-principles (PBE) data for a relaxed SiSbTe2Ir crystal, as listed in the Alexandria database.

Values from the calculation:
- calculated total energy (eV/cell) = -20.83
- formation energy (no corrections) (eV per atom) = 0.77
- space group = P4/mmm

Unit cell a=5.397 b=5.397 c=4.948 alpha=90.00 beta=90.00 gamma=90.00
Positions (direct):
Si  0.000  0.000  0.000
Sb  0.500  0.500  0.000
Te  0.000  0.500  0.500
Te  0.500  0.000  0.500
Ir  0.500  0.500  0.500

=====

First-principles (PBE) data for a relaxed SiSbTe2Ir crystal, as listed in the Alexandria database.

Values from the calculation:
- calculated total energy (eV/cell) = -18.67
- formation energy (no corrections) (eV per atom) = 1.20
- space group = P4/mmm

Unit cell a=5.045 b=5.045 c=5.054 alpha=90.00 beta=90.00 gamma=90.00
Positions (direct):
Si  0.000  0.000  0.000
Sb  0.000  0.000  0.500
Te  0.000  0.500  0.000
Te  0.500  0.000  0.000
Ir  0.500  0.500  0.500

=====

First-principles (PBE) data for a relaxed Th3Si2SbIr9 crystal, as listed in the Alexandria database.

Values from the calculation:
- calculated total energy (eV/cell) = -123.74
- formation energy (no corrections) (eV per atom) = -0.45
- space group = P-3m1

Unit cell a=5.726 b=5.726 c=10.707 alpha=90.00 beta=90.00 gamma=120.00
Positions (direct):
Th  0.000  0.000  0.000
Th  0.333  0.667  0.605
Th  0.667  0.333  0.395
Si  0.333  0.667  0.157
Si  0.667  0.333  0.843
Sb  0.000  0.000  0.500
Ir  0.000  0.500  0.000
Ir  0.165  0.330  0.310
Ir  0.165  0.835  0.310
Ir  0.330  0.165  0.690
Ir  0.500  0.000  0.000
Ir  0.500  0.500  0.000
Ir  0.670  0.835  0.310
Ir  0.835  0.165  0.690
Ir  0.835  0.670  0.690

=====

First-principles (PBE) data for a relaxed ZrSiSbIr2 crystal, as listed in the Alexandria database.

Values from the calculation:
- calculated total energy (eV/cell) = -29.88
- formation energy (no corrections) (eV per atom) = 1.19
- space group = P4/mmm

Unit cell a=4.914 b=4.914 c=4.987 alpha=90.00 beta=90.00 gamma=90.00
Positions (direct):
Zr  0.000  0.000  0.000
Si  0.000  0.000  0.500
Sb  0.500  0.500  0.500
Ir  0.000  0.500  0.000
Ir  0.500  0.000  0.000

=====

First-principles (PBE) data for a relaxed SmSb2Ir crystal, as listed in the Alexandria database.

Values from the calculation:
- calculated total energy (eV/cell) = -21.99
- formation energy (no corrections) (eV per atom) = -0.04
- space group = R-3m

Unit cell a=9.959 b=9.959 c=9.959 alpha=20.99 beta=20.99 gamma=20.99
Positions (direct):
Sm  0.000  0.000  0.000
Sb  0.109  0.109  0.109
Sb  0.891  0.891  0.891
Ir  0.500  0.500  0.500

=====

First-principles (PBE) data for a relaxed Sm4SbIr crystal, as listed in the Alexandria database.

Values from the calculation:
- calculated total energy (eV/cell) = -71.85
- formation energy (no corrections) (eV per atom) = -0.68
- space group = P2_1/m

Unit cell a=6.232 b=6.671 c=8.935 alpha=90.00 beta=110.51 gamma=90.00
Positions (direct):
Sm  0.008  0.000  0.208
Sm  0.008  0.500  0.208
Sm  0.397  0.250  0.615
Sm  0.432  0.250  0.096
Sm  0.568  0.750  0.904
Sm  0.603  0.750  0.385
Sm  0.992  0.000  0.792
Sm  0.992  0.500  0.792
Sb  0.210  0.750  0.548
Sb  0.790  0.250  0.452
Ir  0.266  0.750  0.071
Ir  0.734  0.250  0.929

=====

First-principles (PBE) data for a relaxed Sm4Sb2Ir crystal, as listed in the Alexandria database.

Values from the calculation:
- calculated total energy (eV/cell) = -41.08
- formation energy (no corrections) (eV per atom) = -0.73
- space group = C2/m

Unit cell a=8.182 b=8.182 c=7.483 alpha=116.41 beta=116.41 gamma=30.86
Positions (direct):
Sm  0.115  0.115  0.421
Sm  0.383  0.383  0.017
Sm  0.617  0.617  0.983
Sm  0.885  0.885  0.579
Sb  0.270  0.270  0.269
Sb  0.730  0.730  0.731
Ir  0.000  0.000  0.000

=====

First-principles (PBE) data for a relaxed Sm6SbIr crystal, as listed in the Alexandria database.

Values from the calculation:
- calculated total energy (eV/cell) = -43.88
- formation energy (no corrections) (eV per atom) = -0.32
- space group = R-3

Unit cell a=7.854 b=7.854 c=7.854 alpha=52.60 beta=52.60 gamma=52.60
Positions (direct):
Sm  0.049  0.419  0.764
Sm  0.236  0.951  0.581
Sm  0.419  0.764  0.049
Sm  0.581  0.236  0.951
Sm  0.764  0.049  0.419
Sm  0.951  0.581  0.236
Sb  0.500  0.500  0.500
Ir  0.000  0.000  0.000

=====

First-principles (PBE) data for a relaxed Sm6Sb3Ir crystal, as listed in the Alexandria database.

Values from the calculation:
- calculated total energy (eV/cell) = -112.68
- formation energy (no corrections) (eV per atom) = -0.68
- space group = Cmc2_1

Unit cell a=9.389 b=9.389 c=7.559 alpha=90.00 beta=90.00 gamma=104.18
Positions (direct):
Sm  0.002  0.998  0.500
Sm  0.099  0.588  0.920
Sm  0.245  0.755  0.433
Sm  0.293  0.366  0.409
Sm  0.366  0.293  0.909
Sm  0.412  0.901  0.920
Sm  0.588  0.099  0.420
Sm  0.634  0.707  0.409
Sm  0.707  0.634  0.909
Sm  0.755  0.245  0.933
Sm  0.901  0.412  0.420
Sm  0.998  0.002  0.000
Sb  0.070  0.291  0.727
Sb  0.291  0.070  0.227
Sb  0.400  0.600  0.111
Sb  0.600  0.400  0.611
Sb  0.709  0.930  0.727
Sb  0.930  0.709  0.227
Ir  0.145  0.855  0.744
Ir  0.855  0.145  0.244

=====

First-principles (PBE) data for a relaxed Sm12Sb6Ir crystal, as listed in the Alexandria database.

Values from the calculation:
- calculated total energy (eV/cell) = -103.74
- formation energy (no corrections) (eV per atom) = -0.71
- space group = R-3

Unit cell a=8.747 b=8.747 c=8.747 alpha=99.54 beta=99.54 gamma=99.54
Positions (direct):
Sm  0.016  0.685  0.943
Sm  0.057  0.984  0.315
Sm  0.194  0.419  0.554
Sm  0.315  0.057  0.984
Sm  0.419  0.554  0.194
Sm  0.446  0.806  0.581
Sm  0.554  0.194  0.419
Sm  0.581  0.446  0.806
Sm  0.685  0.943  0.016
Sm  0.806  0.581  0.446
Sm  0.943  0.016  0.685
Sm  0.984  0.315  0.057
Sb  0.123  0.641  0.314
Sb  0.314  0.123  0.641
Sb  0.359  0.686  0.877
Sb  0.641  0.314  0.123
Sb  0.686  0.877  0.359
Sb  0.877  0.359  0.686
Ir  0.000  0.000  0.000

=====

First-principles (PBE) data for a relaxed Sm4SbIr crystal, as listed in the Alexandria database.

Values from the calculation:
- calculated total energy (eV/cell) = -35.41
- formation energy (no corrections) (eV per atom) = -0.59
- space group = C2/m

Unit cell a=4.966 b=4.966 c=7.487 alpha=91.95 beta=91.95 gamma=90.01
Positions (direct):
Sm  0.010  0.512  0.775
Sm  0.488  0.990  0.225
Sm  0.512  0.010  0.775
Sm  0.990  0.488  0.225
Sb  0.000  0.000  0.500
Ir  0.500  0.500  0.000

=====

First-principles (PBE) data for a relaxed Sm8Sb2Ir crystal, as listed in the Alexandria database.

Values from the calculation:
- calculated total energy (eV/cell) = -60.81
- formation energy (no corrections) (eV per atom) = -0.54
- space group = C2/m

Unit cell a=9.858 b=9.858 c=7.510 alpha=98.25 beta=98.25 gamma=27.54
Positions (direct):
Sm  0.005  0.005  0.279
Sm  0.216  0.216  0.849
Sm  0.354  0.354  0.471
Sm  0.404  0.404  0.988
Sm  0.596  0.596  0.012
Sm  0.646  0.646  0.529
Sm  0.784  0.784  0.151
Sm  0.995  0.995  0.721
Sb  0.182  0.182  0.267
Sb  0.818  0.818  0.733
Ir  0.500  0.500  0.500

=====

First-principles (PBE) data for a relaxed Sm5Sb2Ir crystal, as listed in the Alexandria database.

Values from the calculation:
- calculated total energy (eV/cell) = -90.15
- formation energy (no corrections) (eV per atom) = -0.55
- space group = Cmcm

Unit cell a=5.681 b=5.681 c=16.313 alpha=90.00 beta=90.00 gamma=117.50
Positions (direct):
Sm  0.073  0.927  0.599
Sm  0.073  0.927  0.901
Sm  0.252  0.748  0.250
Sm  0.407  0.593  0.626
Sm  0.407  0.593  0.874
Sm  0.593  0.407  0.126
Sm  0.593  0.407  0.374
Sm  0.748  0.252  0.750
Sm  0.927  0.073  0.099
Sm  0.927  0.073  0.401
Sb  0.269  0.731  0.060
Sb  0.269  0.731  0.440
Sb  0.731  0.269  0.560
Sb  0.731  0.269  0.940
Ir  0.197  0.803  0.750
Ir  0.803  0.197  0.250

=====

First-principles (PBE) data for a relaxed Sm4SbIr2 crystal, as listed in the Alexandria database.

Values from the calculation:
- calculated total energy (eV/cell) = -90.22
- formation energy (no corrections) (eV per atom) = -0.63
- space group = Imma

Unit cell a=8.207 b=8.207 c=8.207 alpha=110.74 beta=110.59 gamma=107.10
Positions (direct):
Sm  0.223  0.287  0.564
Sm  0.223  0.658  0.936
Sm  0.287  0.223  0.065
Sm  0.342  0.777  0.565
Sm  0.658  0.223  0.435
Sm  0.713  0.777  0.935
Sm  0.777  0.342  0.064
Sm  0.777  0.713  0.436
Sb  0.124  0.874  0.250
Sb  0.876  0.126  0.750
Ir  0.000  0.500  0.500
Ir  0.500  0.000  0.000
Ir  0.500  0.500  0.000
Ir  0.500  0.500  0.500

=====

First-principles (PBE) data for a relaxed Sm5SbIr2 crystal, as listed in the Alexandria database.

Values from the calculation:
- calculated total energy (eV/cell) = -103.06
- formation energy (no corrections) (eV per atom) = -0.76
- space group = I4/mcm

Unit cell a=8.813 b=8.813 c=8.813 alpha=126.19 beta=126.19 gamma=79.57
Positions (direct):
Sm  0.000  0.000  0.000
Sm  0.024  0.524  0.817
Sm  0.207  0.024  0.500
Sm  0.293  0.793  0.817
Sm  0.476  0.293  0.500
Sm  0.500  0.500  0.000
Sm  0.524  0.707  0.500
Sm  0.707  0.207  0.183
Sm  0.793  0.976  0.500
Sm  0.976  0.476  0.183
Sb  0.250  0.250  0.000
Sb  0.750  0.750  0.000
Ir  0.139  0.361  0.500
Ir  0.361  0.861  0.222
Ir  0.639  0.139  0.778
Ir  0.861  0.639  0.500

=====

First-principles (PBE) data for a relaxed Sn2SbIr2 crystal, as listed in the Alexandria database.

Values from the calculation:
- calculated total energy (eV/cell) = -59.99
- formation energy (no corrections) (eV per atom) = -0.03
- space group = P4/mbm

Unit cell a=7.969 b=7.969 c=3.077 alpha=90.00 beta=90.00 gamma=90.00
Positions (direct):
Sn  0.149  0.351  0.000
Sn  0.351  0.851  0.000
Sn  0.649  0.149  0.000
Sn  0.851  0.649  0.000
Sb  0.000  0.000  0.500
Sb  0.500  0.500  0.500
Ir  0.145  0.645  0.500
Ir  0.355  0.145  0.500
Ir  0.645  0.855  0.500
Ir  0.855  0.355  0.500

=====

First-principles (PBE) data for a relaxed SnSb3Ir crystal, as listed in the Alexandria database.

Values from the calculation:
- calculated total energy (eV/cell) = -50.64
- formation energy (no corrections) (eV per atom) = -0.02
- space group = P-1

Unit cell a=4.904 b=4.949 c=11.388 alpha=84.89 beta=86.11 gamma=87.68
Positions (direct):
Sn  0.041  0.300  0.316
Sn  0.959  0.700  0.684
Sb  0.238  0.647  0.032
Sb  0.294  0.016  0.814
Sb  0.343  0.765  0.471
Sb  0.657  0.235  0.529
Sb  0.706  0.984  0.186
Sb  0.762  0.353  0.968
Ir  0.214  0.795  0.249
Ir  0.786  0.205  0.751